Hf4SiAs | PBE | relaxed

abc: 6.735 6.007 7.279
angles: 109.90 113.47 98.97
Element x y z (fractional)
Hf1 0.675 0.814 0.126
As1 0.019 0.269 0.538
Si1 0.641 0.391 0.783
Hf2 0.325 0.186 0.874
As2 0.981 0.731 0.462
Hf3 0.746 0.989 0.626
Hf4 0.050 0.688 0.874
Hf5 0.620 0.363 0.374
Hf6 0.380 0.637 0.626
Si2 0.359 0.609 0.217
Hf7 0.254 0.011 0.374
Hf8 0.950 0.312 0.126

* D(E_F): 7.88 states/eV/cell
* calculated total energy: -52.99 eV/f.u.
* ΔE to the lowest computed polymorph: 1.51 eV per formula unit

Sr4TePd2 | PBE | relaxed

abc: 6.210 6.210 8.678
angles: 69.03 69.03 90.00
Element x y z (fractional)
Sr1 0.780 0.780 0.441
Sr2 0.500 0.000 0.000
Pd1 0.588 0.588 0.824
Pd2 0.412 0.412 0.176
Sr3 0.220 0.220 0.559
Sr4 0.000 0.500 0.000
Te1 0.000 0.000 0.000

* D(E_F): 3.33 states/eV/cell
* calculated total energy: -23.89 eV/f.u.

RbAgHBr3 | PBE | relaxed

abc: 7.319 7.319 8.779
angles: 72.59 72.59 74.17
Element x y z (fractional)
Ag1 0.724 0.276 0.500
Br1 0.212 0.710 0.800
Br2 0.290 0.788 0.200
H1 0.877 0.877 0.328
Br3 0.249 0.249 0.553
Br4 0.710 0.212 0.800
Ag2 0.276 0.724 0.500
Rb1 0.709 0.709 0.881
Br5 0.751 0.751 0.447
H2 0.123 0.123 0.672
Rb2 0.291 0.291 0.119
Br6 0.788 0.290 0.200

* D(E_F): 0.00 states/eV/cell
* calculated total energy: -16.60 eV/f.u.